Record 1
This record from the Alexandria database describes an optimized crystal structure of Pa3Tl2InO12. The functional is GGA-PBE.

```
Pa3Tl2InO12
1.0
4.098 2.366 6.402
-4.098 2.366 6.402
0.000 -4.732 6.402
Pa Tl In O
3 2 1 12
Direct
0.000 0.500 0.500 Pa
0.500 0.000 0.500 Pa
0.500 0.500 0.000 Pa
0.176 0.176 0.176 Tl
0.824 0.824 0.824 Tl
0.500 0.500 0.500 In
0.183 0.563 0.563 O
0.187 0.187 0.541 O
0.187 0.541 0.187 O
0.437 0.437 0.817 O
0.437 0.817 0.437 O
0.459 0.813 0.813 O
0.541 0.187 0.187 O
0.563 0.183 0.563 O
0.563 0.563 0.183 O
0.813 0.459 0.813 O
0.813 0.813 0.459 O
0.817 0.437 0.437 O
```

Output
- E (eV per atom) = -7.49
- formation energy (no corrections) (meV/atom) = -2184
- total magnetic moment (μB/f.u.) = 3.383

Record 2
This record from the Alexandria database describes an optimized crystal structure of BaNaBe3. The functional is GGA-PBE.

```
BaNaBe3
1.0
5.018 0.000 0.000
0.000 5.018 0.000
0.000 0.000 5.018
Ba Na Be
1 1 3
Direct
0.000 0.000 0.000 Ba
0.500 0.500 0.500 Na
0.000 0.500 0.500 Be
0.500 0.000 0.500 Be
0.500 0.500 0.000 Be
```

Output
- E (eV per atom) = -1.64
- calculated formation energy (eV/atom) = 1.24
- total magnetic moment (μB/f.u.) = 0.000

Record 3
This record from the Alexandria database describes an optimized crystal structure of CdHg2Ru. The functional is GGA-PBE.

```
CdHg2Ru
1.0
3.037 0.000 0.000
0.000 4.208 0.000
0.000 0.000 6.088
Cd Hg Ru
1 2 1
Direct
0.000 0.000 0.000 Cd
0.500 0.500 0.265 Hg
0.500 0.500 0.735 Hg
0.000 0.000 0.500 Ru
```

Output
- E (eV per atom) = -2.27
- calculated formation energy (eV/atom) = 0.43
- total magnetic moment (μB/f.u.) = 1.004